No. 1
10
Lattice="3.316 0.000 0.000 0.000 3.316 0.000 0.000 0.000 16.430" Properties=species:S:1:pos:R:3 comment="PBE Zr5Tc4Pt, optimized geometry" magmom_total_mub_per_cell=0.00 space_group="P4/mmm (123)" n_ef_per_ev_atom=0.8214 dft_energy_ev_per_atom=-9.55 formation_enthalpy_0k_ev_per_atom=-0.53 rho_g_cm3=9.6 pbc="T T T"
Zr 0.000 0.000 0.000
Zr 0.000 0.000 3.266
Zr 0.000 0.000 6.488
Zr 0.000 0.000 9.942
Zr 0.000 0.000 13.164
Tc 1.658 1.658 1.645
Tc 1.658 1.658 4.967
Tc 1.658 1.658 11.463
Tc 1.658 1.658 14.785
Pt 1.658 1.658 8.215

---

No. 2
12
Lattice="2.814 0.000 0.000 -1.407 2.437 0.000 0.000 0.000 28.857" Properties=species:S:1:pos:R:3 comment="PBE ZrTc2Pt, optimized geometry" magmom_total_mub_per_cell=0.00 space_group="R-3m (166)" n_ef_per_ev_atom=1.3229 dft_energy_ev_per_atom=-8.66 formation_enthalpy_0k_ev_per_atom=0.17 rho_g_cm3=12.1 pbc="T T T"
Zr 0.000 0.000 0.000
Zr 0.000 1.625 19.238
Zr 1.407 0.812 9.619
Tc 0.000 0.000 7.055
Tc 0.000 0.000 21.801
Tc 0.000 1.625 12.182
Tc 0.000 1.625 26.293
Tc 1.407 0.812 2.564
Tc 1.407 0.812 16.674
Pt 0.000 0.000 14.428
Pt 0.000 1.625 4.809
Pt 1.407 0.812 24.047

---

No. 3
8
Lattice="4.047 0.000 0.000 0.000 4.047 0.000 0.000 0.000 8.158" Properties=species:S:1:pos:R:3 comment="PBE ZrTcPt2, optimized geometry" magmom_total_mub_per_cell=3.39 space_group="I-4m2 (119)" n_ef_per_ev_atom=1.2540 dft_energy_ev_per_atom=-8.25 formation_enthalpy_0k_ev_per_atom=-0.50 rho_g_cm3=14.4 pbc="T T T"
Zr 0.000 0.000 0.000
Zr 2.024 2.024 4.079
Tc 0.000 2.024 6.118
Tc 2.024 0.000 2.039
Pt 0.000 0.000 4.079
Pt 0.000 2.024 2.039
Pt 2.024 0.000 6.118
Pt 2.024 2.024 0.000

---

No. 4
8
Lattice="9.540 0.000 0.000 0.000 3.039 0.000 -0.976 0.000 4.604" Properties=species:S:1:pos:R:3 comment="PBE ZrTcPt2, optimized geometry" magmom_total_mub_per_cell=0.00 space_group="C2/m (12)" n_ef_per_ev_atom=0.7540 dft_energy_ev_per_atom=-8.14 formation_enthalpy_0k_ev_per_atom=-0.39 rho_g_cm3=14.4 pbc="T T T"
Zr 0.000 0.000 0.000
Zr 4.770 1.519 0.000
Tc -0.488 1.519 2.302
Tc 4.282 0.000 2.302
Pt 1.600 0.000 3.402
Pt 2.194 1.519 1.203
Pt 6.370 1.519 3.402
Pt 6.964 0.000 1.203

---

No. 5
4
Lattice="2.840 0.000 0.000 0.000 4.609 0.000 0.000 0.000 5.036" Properties=species:S:1:pos:R:3 comment="PBE ZrTcPt2, optimized geometry" magmom_total_mub_per_cell=0.00 space_group="Pmm2 (25)" n_ef_per_ev_atom=0.6247 dft_energy_ev_per_atom=-8.31 formation_enthalpy_0k_ev_per_atom=-0.56 rho_g_cm3=14.6 pbc="T T T"
Zr 0.000 0.000 0.000
Tc 0.000 2.304 1.773
Pt 1.420 0.000 2.455
Pt 1.420 2.304 4.139

---

No. 6
4
Lattice="2.962 0.000 0.000 0.000 2.962 0.000 0.000 0.000 7.611" Properties=species:S:1:pos:R:3 comment="PBE ZrTc2Pt, optimized geometry" magmom_total_mub_per_cell=0.00 space_group="P4mm (99)" n_ef_per_ev_atom=0.6261 dft_energy_ev_per_atom=-9.11 formation_enthalpy_0k_ev_per_atom=-0.27 rho_g_cm3=12.0 pbc="T T T"
Zr 0.000 0.000 0.000
Tc 0.000 0.000 4.035
Tc 1.481 1.481 5.512
Pt 1.481 1.481 2.040

---

No. 7
10
Lattice="7.713 0.000 0.000 0.000 7.713 0.000 0.000 0.000 2.808" Properties=species:S:1:pos:R:3 comment="PBE ZrTc2Pt2, optimized geometry" magmom_total_mub_per_cell=0.00 space_group="P4/mbm (127)" n_ef_per_ev_atom=0.9222 dft_energy_ev_per_atom=-8.48 formation_enthalpy_0k_ev_per_atom=-0.21 rho_g_cm3=13.5 pbc="T T T"
Zr 0.000 0.000 0.000
Zr 3.856 3.856 0.000
Tc 0.877 2.979 0.000
Tc 2.979 6.835 0.000
Tc 4.734 0.877 0.000
Tc 6.835 4.734 0.000
Pt 1.402 5.258 1.404
Pt 2.455 1.402 1.404
Pt 5.258 6.311 1.404
Pt 6.311 2.455 1.404

---

No. 8
8
Lattice="5.634 0.000 0.000 0.000 8.189 0.000 0.000 0.000 2.844" Properties=species:S:1:pos:R:3 comment="PBE ZrTcPt2, optimized geometry" magmom_total_mub_per_cell=0.00 space_group="Cmmm (65)" n_ef_per_ev_atom=0.8152 dft_energy_ev_per_atom=-8.31 formation_enthalpy_0k_ev_per_atom=-0.56 rho_g_cm3=14.7 pbc="T T T"
Zr 0.000 0.000 0.000
Zr 2.817 4.094 0.000
Tc 0.000 4.094 0.000
Tc 2.817 0.000 0.000
Pt 1.408 2.047 1.422
Pt 1.408 6.142 1.422
Pt 4.225 2.047 1.422
Pt 4.225 6.142 1.422

---

No. 9
4
Lattice="3.365 0.000 0.000 0.000 3.365 0.000 0.000 0.000 5.900" Properties=species:S:1:pos:R:3 comment="PBE ZrTc2Pt, optimized geometry" magmom_total_mub_per_cell=0.00 space_group="P4/mmm (123)" n_ef_per_ev_atom=1.4315 dft_energy_ev_per_atom=-8.87 formation_enthalpy_0k_ev_per_atom=-0.04 rho_g_cm3=12.0 pbc="T T T"
Zr 0.000 0.000 0.000
Tc 1.683 1.683 1.608
Tc 1.683 1.683 4.292
Pt 0.000 0.000 2.950

---

No. 10
8
Lattice="9.447 0.000 0.000 0.000 2.898 0.000 -0.831 0.000 4.822" Properties=species:S:1:pos:R:3 comment="PBE ZrTc2Pt, optimized geometry" magmom_total_mub_per_cell=0.00 space_group="C2/m (12)" n_ef_per_ev_atom=1.2989 dft_energy_ev_per_atom=-8.99 formation_enthalpy_0k_ev_per_atom=-0.16 rho_g_cm3=12.1 pbc="T T T"
Zr 0.000 0.000 0.000
Zr 4.724 1.449 0.000
Tc 1.651 0.000 3.514
Tc 2.242 1.449 1.308
Tc 6.375 1.449 3.514
Tc 6.965 0.000 1.308
Pt -0.415 1.449 2.411
Pt 4.308 0.000 2.411

---

No. 11
12
Lattice="2.834 0.000 0.000 -1.417 2.454 0.000 0.000 0.000 28.353" Properties=species:S:1:pos:R:3 comment="PBE ZrTc2Pt, optimized geometry" magmom_total_mub_per_cell=0.00 space_group="R3m (160)" n_ef_per_ev_atom=1.0146 dft_energy_ev_per_atom=-8.91 formation_enthalpy_0k_ev_per_atom=-0.07 rho_g_cm3=12.2 pbc="T T T"
Zr 0.000 0.000 0.000
Zr 0.000 1.636 18.902
Zr 1.417 0.818 9.451
Tc 0.000 0.000 6.858
Tc 0.000 0.000 14.261
Tc 0.000 1.636 4.810
Tc 0.000 1.636 25.760
Tc 1.417 0.818 16.309
Tc 1.417 0.818 23.712
Pt 0.000 0.000 21.346
Pt 0.000 1.636 11.895
Pt 1.417 0.818 2.444

---

No. 12
16
Lattice="3.819 0.000 0.000 0.000 3.819 0.000 0.000 0.000 19.950" Properties=species:S:1:pos:R:3 comment="PBE ZrTc2Pt, optimized geometry" magmom_total_mub_per_cell=0.00 space_group="I-42d (122)" n_ef_per_ev_atom=1.2658 dft_energy_ev_per_atom=-8.70 formation_enthalpy_0k_ev_per_atom=0.13 rho_g_cm3=11.0 pbc="T T T"
Zr 0.000 0.000 0.000
Zr 0.000 1.910 4.987
Zr 1.910 0.000 14.962
Zr 1.910 1.910 9.975
Tc 0.749 0.955 12.469
Tc 0.955 2.659 17.456
Tc 0.955 3.070 7.481
Tc 1.161 0.955 2.494
Tc 2.659 2.865 2.494
Tc 2.865 0.749 7.481
Tc 2.865 1.161 17.456
Tc 3.070 2.865 12.469
Pt 0.000 0.000 9.975
Pt 0.000 1.910 14.962
Pt 1.910 0.000 4.987
Pt 1.910 1.910 0.000

---

No. 13
8
Lattice="9.392 0.000 0.000 0.000 2.862 0.000 -0.800 0.000 4.894" Properties=species:S:1:pos:R:3 comment="PBE ZrTc2Pt, optimized geometry" magmom_total_mub_per_cell=0.00 space_group="Cm (8)" n_ef_per_ev_atom=1.1107 dft_energy_ev_per_atom=-9.01 formation_enthalpy_0k_ev_per_atom=-0.18 rho_g_cm3=12.2 pbc="T T T"
Zr 0.000 0.000 0.000
Zr 4.696 1.431 0.000
Tc -0.368 1.431 2.391
Tc 2.197 1.431 1.467
Tc 4.328 0.000 2.391
Tc 6.893 0.000 1.467
Pt 1.710 0.000 3.734
Pt 6.406 1.431 3.734

---

No. 14
4
Lattice="3.408 0.000 0.000 0.000 3.408 0.000 0.000 0.000 5.864" Properties=species:S:1:pos:R:3 comment="PBE ZrTcPt2, optimized geometry" magmom_total_mub_per_cell=0.07 space_group="P4mm (99)" n_ef_per_ev_atom=1.2547 dft_energy_ev_per_atom=-8.20 formation_enthalpy_0k_ev_per_atom=-0.45 rho_g_cm3=14.1 pbc="T T T"
Zr 0.000 0.000 0.000
Tc 1.704 1.704 4.172
Pt 0.000 0.000 2.990
Pt 1.704 1.704 1.422

---

No. 15
7
Lattice="2.313 1.336 7.535 -2.313 1.336 7.535 0.000 -2.671 7.535" Properties=species:S:1:pos:R:3 comment="PBE Zr4Tc2Pt, optimized geometry" magmom_total_mub_per_cell=0.00 space_group="R-3m (166)" n_ef_per_ev_atom=0.6309 dft_energy_ev_per_atom=-9.13 formation_enthalpy_0k_ev_per_atom=-0.43 rho_g_cm3=9.0 pbc="T T T"
Zr 0.000 0.000 2.706
Zr 0.000 0.000 8.383
Zr 0.000 0.000 14.222
Zr 0.000 0.000 19.899
Tc 0.000 0.000 5.606
Tc 0.000 0.000 16.998
Pt 0.000 0.000 11.302

---

No. 16
4
Lattice="2.834 0.000 0.000 0.000 2.834 0.000 0.000 0.000 8.198" Properties=species:S:1:pos:R:3 comment="PBE ZrTcPt2, optimized geometry" magmom_total_mub_per_cell=0.30 space_group="P4/mmm (123)" n_ef_per_ev_atom=1.1477 dft_energy_ev_per_atom=-8.17 formation_enthalpy_0k_ev_per_atom=-0.42 rho_g_cm3=14.6 pbc="T T T"
Zr 0.000 0.000 0.000
Tc 0.000 0.000 4.099
Pt 1.417 1.417 2.179
Pt 1.417 1.417 6.020

---

No. 17
4
Lattice="2.843 0.000 0.000 0.000 2.843 0.000 0.000 0.000 8.278" Properties=species:S:1:pos:R:3 comment="PBE ZrTcPt2, optimized geometry" magmom_total_mub_per_cell=0.00 space_group="P4mm (99)" n_ef_per_ev_atom=0.8950 dft_energy_ev_per_atom=-8.07 formation_enthalpy_0k_ev_per_atom=-0.32 rho_g_cm3=14.4 pbc="T T T"
Zr 0.000 0.000 0.000
Tc 1.422 1.422 6.010
Pt 0.000 0.000 4.209
Pt 1.422 1.422 2.081

---

No. 18
10
Lattice="7.098 0.000 0.000 0.000 7.098 0.000 0.000 0.000 3.708" Properties=species:S:1:pos:R:3 comment="PBE Zr2TcPt2, optimized geometry" magmom_total_mub_per_cell=0.00 space_group="P4/mbm (127)" n_ef_per_ev_atom=1.3964 dft_energy_ev_per_atom=-8.47 formation_enthalpy_0k_ev_per_atom=-0.56 rho_g_cm3=11.9 pbc="T T T"
Zr 1.236 2.313 0.000
Zr 2.313 5.862 0.000
Zr 4.785 1.236 0.000
Zr 5.862 4.785 0.000
Tc 0.000 0.000 1.854
Tc 3.549 3.549 1.854
Pt 0.933 4.482 1.854
Pt 2.616 0.933 1.854
Pt 4.482 6.166 1.854
Pt 6.166 2.616 1.854

---

No. 19
12
Lattice="7.384 -3.295 0.000 7.384 3.295 0.000 -1.470 0.000 4.432" Properties=species:S:1:pos:R:3 comment="PBE Zr6Tc5Pt, optimized geometry" magmom_total_mub_per_cell=0.00 space_group="C2/m (12)" n_ef_per_ev_atom=0.6404 dft_energy_ev_per_atom=-9.61 formation_enthalpy_0k_ev_per_atom=-0.51 rho_g_cm3=9.5 pbc="T T T"
Zr 4.401 1.669 1.466
Zr 7.384 1.688 0.000
Zr 8.897 1.669 2.966
Zr 4.401 -1.669 1.466
Zr 7.384 -1.688 0.000
Zr 8.897 -1.669 2.966
Tc -0.735 0.000 2.216
Tc 2.214 0.000 0.739
Tc 3.721 0.000 3.700
Tc 9.576 0.000 0.731
Tc 11.083 0.000 3.692
Pt 6.649 0.000 2.216

---

No. 20
4
Lattice="3.936 0.000 0.000 0.000 3.936 0.000 0.000 0.000 4.217" Properties=species:S:1:pos:R:3 comment="PBE ZrTc2Pt, optimized geometry" magmom_total_mub_per_cell=0.00 space_group="P4/mmm (123)" n_ef_per_ev_atom=1.0617 dft_energy_ev_per_atom=-9.16 formation_enthalpy_0k_ev_per_atom=-0.33 rho_g_cm3=12.3 pbc="T T T"
Zr 0.000 0.000 0.000
Tc 0.000 1.968 2.108
Tc 1.968 0.000 2.108
Pt 1.968 1.968 0.000